1.
# Zr5TlAg | the Alexandria database | GGA-PBE | relaxed
data_Zr5TlAg
_chemical_formula_sum 'Zr20 Tl4 Ag4'
_space_group_name_H-M_alt 'C 1 2/c 1'
_space_group_IT_number 15
_cell_length_a 13.492
_cell_length_b 8.604
_cell_length_c 5.995
_cell_angle_alpha 90.00
_cell_angle_beta 108.22
_cell_angle_gamma 90.00
loop_
_space_group_symop_operation_xyz
'x,y,z'
'-x,-y,-z'
'-x,y,-z+1/2'
'x,-y,z+1/2'
'x+1/2,y+1/2,z'
'-x+1/2,-y+1/2,-z'
'-x+1/2,y+1/2,-z+1/2'
'x+1/2,-y+1/2,z+1/2'
loop_
_atom_site_label
_atom_site_type_symbol
_atom_site_fract_x
_atom_site_fract_y
_atom_site_fract_z
Zr1 Zr 0.000 0.242 0.250
Zr2 Zr 0.110 0.433 0.944
Zr3 Zr 0.177 0.032 0.140
Tl1 Tl 0.000 0.137 0.750
Ag1 Ag 0.250 0.250 0.500
# Crystal system ... monoclinic
# Formation energy from the elements ... 0.200 eV/atom
# Total moment ... 0.000 μB per atom
# E_tot ... -186.2 eV for the cell shown

=====

2.
# La2MnIn | the Alexandria database | GGA-PBE | relaxed
data_La2MnIn
_chemical_formula_sum 'La4 Mn2 In2'
_space_group_name_H-M_alt 'I m m 2'
_space_group_IT_number 44
_cell_length_a 3.735
_cell_length_b 5.311
_cell_length_c 11.241
_cell_angle_alpha 90.00
_cell_angle_beta 90.00
_cell_angle_gamma 90.00
loop_
_space_group_symop_operation_xyz
'x,y,z'
'-x,-y,z'
'-x,y,z'
'x,-y,z'
'x+1/2,y+1/2,z+1/2'
'-x+1/2,-y+1/2,z+1/2'
'-x+1/2,y+1/2,z+1/2'
'x+1/2,-y+1/2,z+1/2'
loop_
_atom_site_label
_atom_site_type_symbol
_atom_site_fract_x
_atom_site_fract_y
_atom_site_fract_z
La1 La 0.000 0.000 0.000
La2 La 0.000 0.500 0.205
Mn1 Mn 0.000 0.500 0.744
In1 In 0.000 0.000 0.429
# Crystal system ... orthorhombic
# Formation energy from the elements ... -0.067 eV/atom
# Total moment ... 0.830 μB per atom
# E_tot ... -44.1 eV for the cell shown